# 1
Computed, not measured: an optimized crystal structure of TbPr2Y at the GGA-PBE level of DFT.

Excess energy over the best structure of this formula in the dataset   0 meV/atom
Magnetic moment   0.00 Bohr magnetons per cell
Crystal system   trigonal
Symmetry   No. 166
Energy of formation from the pure elements   9 meV/atom

Lattice parameters (Å, degrees): 11.972 11.972 11.972 17.53 17.53 17.53
Fractional coordinates of all 4 atoms:
Tb  0.000  0.000  0.000
Pr  0.250  0.250  0.250
Pr  0.750  0.750  0.750
Y  0.500  0.500  0.500

***

# 2
Computed, not measured: an optimized crystal structure of Tb12PrY3 at the GGA-PBE level of DFT.

Magnetic moment   0.00 Bohr magnetons per cell
Crystal system   tetragonal
Symmetry   No. 123
Energy of formation from the pure elements   19 meV/atom

Lattice parameters (Å, degrees): 5.055 5.055 20.203 90.00 90.00 90.00
Fractional coordinates of all 16 atoms:
Tb  0.000  0.000  0.000
Tb  0.000  0.000  0.248
Tb  0.000  0.000  0.500
Tb  0.000  0.000  0.752
Tb  0.000  0.500  0.124
Tb  0.000  0.500  0.373
Tb  0.000  0.500  0.627
Tb  0.000  0.500  0.876
Tb  0.500  0.000  0.124
Tb  0.500  0.000  0.373
Tb  0.500  0.000  0.627
Tb  0.500  0.000  0.876
Pr  0.500  0.500  0.500
Y  0.500  0.500  0.000
Y  0.500  0.500  0.249
Y  0.500  0.500  0.751

***

# 3
Computed, not measured: an optimized crystal structure of Tb5Pr12Y2 at the GGA-PBE level of DFT.

Excess energy over the best structure of this formula in the dataset   0 meV/atom
Magnetic moment   0.00 Bohr magnetons per cell
Crystal system   monoclinic
Symmetry   No. 12
Energy of formation from the pure elements   127 meV/atom

Lattice parameters (Å, degrees): 9.427 9.427 8.132 92.61 92.61 68.66
Fractional coordinates of all 19 atoms:
Tb  0.000  0.000  0.000
Tb  0.243  0.243  0.987
Tb  0.346  0.346  0.409
Tb  0.654  0.654  0.591
Tb  0.757  0.757  0.013
Pr  0.039  0.587  0.707
Pr  0.138  0.138  0.611
Pr  0.167  0.620  0.112
Pr  0.380  0.833  0.888
Pr  0.413  0.961  0.293
Pr  0.447  0.447  0.788
Pr  0.553  0.553  0.212
Pr  0.587  0.039  0.707
Pr  0.620  0.167  0.112
Pr  0.833  0.380  0.888
Pr  0.862  0.862  0.389
Pr  0.961  0.413  0.293
Y  0.262  0.738  0.500
Y  0.738  0.262  0.500

***

# 4
Computed, not measured: an optimized crystal structure of Tb4Pr2Y7 at the GGA-PBE level of DFT.

Magnetic moment   0.00 Bohr magnetons per cell
Crystal system   trigonal
Symmetry   No. 162
Energy of formation from the pure elements   181 meV/atom

Lattice parameters (Å, degrees): 6.123 6.123 13.431 90.00 90.00 120.00
Fractional coordinates of all 13 atoms:
Tb  0.000  0.000  0.104
Tb  0.000  0.000  0.896
Tb  0.333  0.667  0.000
Tb  0.667  0.333  0.000
Pr  0.333  0.667  0.500
Pr  0.667  0.333  0.500
Y  0.000  0.000  0.500
Y  0.000  0.353  0.717
Y  0.000  0.647  0.283
Y  0.353  0.000  0.717
Y  0.353  0.353  0.283
Y  0.647  0.000  0.283
Y  0.647  0.647  0.717

***

# 5
Computed, not measured: an optimized crystal structure of Tb5Pr6Y at the GGA-PBE level of DFT.

Excess energy over the best structure of this formula in the dataset   0 meV/atom
Magnetic moment   0.00 Bohr magnetons per cell
Crystal system   monoclinic
Symmetry   No. 12
Energy of formation from the pure elements   10 meV/atom

Lattice parameters (Å, degrees): 6.329 6.329 11.944 95.05 95.05 120.01
Fractional coordinates of all 12 atoms:
Tb  0.000  0.000  0.000
Tb  0.167  0.833  0.500
Tb  0.333  0.667  0.000
Tb  0.667  0.333  0.000
Tb  0.833  0.167  0.500
Pr  0.082  0.416  0.250
Pr  0.249  0.249  0.750
Pr  0.416  0.082  0.250
Pr  0.584  0.918  0.750
Pr  0.751  0.751  0.250
Pr  0.918  0.584  0.750
Y  0.500  0.500  0.500

***

# 6
Computed, not measured: an optimized crystal structure of Tb4Pr2Y at the GGA-PBE level of DFT.

Excess energy over the best structure of this formula in the dataset   0 meV/atom
Magnetic moment   0.00 Bohr magnetons per cell
Crystal system   trigonal
Symmetry   No. 166
Energy of formation from the pure elements   17 meV/atom

Lattice parameters (Å, degrees): 20.691 20.691 20.691 10.00 10.00 10.00
Fractional coordinates of all 7 atoms:
Tb  0.143  0.143  0.143
Tb  0.287  0.287  0.287
Tb  0.713  0.713  0.713
Tb  0.857  0.857  0.857
Pr  0.428  0.428  0.428
Pr  0.572  0.572  0.572
Y  0.000  0.000  0.000

***

# 7
Computed, not measured: an optimized crystal structure of Tb4Pr2Y at the GGA-PBE level of DFT.

Excess energy over the best structure of this formula in the dataset   4 meV/atom
Magnetic moment   0.00 Bohr magnetons per cell
Crystal system   triclinic
Symmetry   No. 1
Energy of formation from the pure elements   21 meV/atom

Lattice parameters (Å, degrees): 6.843 8.581 9.341 65.39 71.83 77.05
Fractional coordinates of all 14 atoms:
Tb  0.000  0.000  0.000
Tb  0.046  0.189  0.260
Tb  0.139  0.570  0.286
Tb  0.189  0.758  0.547
Tb  0.332  0.336  0.830
Tb  0.426  0.709  0.857
Tb  0.621  0.478  0.404
Tb  0.858  0.430  0.714
Pr  0.284  0.143  0.571
Pr  0.473  0.901  0.120
Pr  0.570  0.288  0.140
Pr  0.761  0.046  0.690
Y  0.716  0.853  0.429
Y  0.908  0.619  0.974

***

# 8
Computed, not measured: an optimized crystal structure of TbPr6Y4 at the GGA-PBE level of DFT.

Excess energy over the best structure of this formula in the dataset   30 meV/atom
Magnetic moment   0.00 Bohr magnetons per cell
Crystal system   tetragonal
Symmetry   No. 121
Energy of formation from the pure elements   301 meV/atom

Lattice parameters (Å, degrees): 9.542 9.542 9.542 137.51 137.51 61.65
Fractional coordinates of all 11 atoms:
Tb  0.000  0.000  0.000
Pr  0.000  0.500  0.500
Pr  0.014  0.630  0.000
Pr  0.370  0.370  0.384
Pr  0.500  0.000  0.500
Pr  0.630  0.014  0.000
Pr  0.986  0.986  0.616
Y  0.215  0.215  0.653
Y  0.438  0.785  0.000
Y  0.562  0.562  0.347
Y  0.785  0.438  0.000